No. 1
Material: La2ScZnO6
Method: DFT, GGA-PBE
State: optimized geometry

Computed properties:
calculated total energy = -7.54 eV/atom
formation energy (no corrections) = -2.8202 eV/atom

Geometry as CIF:
```
data_La2ScZnO6
_chemical_formula_sum 'La4 Sc2 Zn2 O12'
_cell_length_a 5.6524
_cell_length_b 5.8161
_cell_length_c 9.8079
_cell_angle_alpha 90.00
_cell_angle_beta 124.67
_cell_angle_gamma 90.00
_symmetry_space_group_name_H-M 'P 1'
_symmetry_Int_Tables_number 1
_symmetry_space_group_name_Hall 'P 1'
loop_
_atom_site_label
_atom_site_type_symbol
_atom_site_fract_x
_atom_site_fract_y
_atom_site_fract_z
La1 La 0.2348 0.0517 0.2486
La2 La 0.2348 0.4483 0.7486
La3 La 0.7652 0.5517 0.2514
La4 La 0.7652 0.9483 0.7514
Sc1 Sc 0.5000 0.0000 0.0000
Sc2 Sc 0.5000 0.5000 0.5000
Zn1 Zn 0.0000 0.0000 0.5000
Zn2 Zn 0.0000 0.5000 0.0000
O1 O 0.1511 0.2014 0.9482
O2 O 0.1511 0.2986 0.4482
O3 O 0.2450 0.7040 0.9473
O4 O 0.2450 0.7960 0.4473
O5 O 0.3483 0.0338 0.7499
O6 O 0.3483 0.4662 0.2499
O7 O 0.6517 0.5338 0.7501
O8 O 0.6517 0.9662 0.2501
O9 O 0.7550 0.2040 0.5527
O10 O 0.7550 0.2960 0.0527
O11 O 0.8489 0.7014 0.5518
O12 O 0.8489 0.7986 0.0518
```

=====

No. 2
Material: CdNiIr2
Method: DFT, GGA-PBE
State: optimized geometry

Computed properties:
calculated total energy = -5.54 eV/atom
energy relative to the elements = 0.565 eV/atom

Geometry as CIF:
```
data_CdNiIr2
_chemical_formula_sum 'Cd2 Ni2 Ir4'
_cell_length_a 9.5160
_cell_length_b 9.5160
_cell_length_c 9.5160
_cell_angle_alpha 156.79
_cell_angle_beta 156.79
_cell_angle_gamma 33.06
_symmetry_space_group_name_H-M 'P 1'
_symmetry_Int_Tables_number 1
_symmetry_space_group_name_Hall 'P 1'
loop_
_atom_site_label
_atom_site_type_symbol
_atom_site_fract_x
_atom_site_fract_y
_atom_site_fract_z
Cd1 Cd 0.0000 0.0000 0.0000
Cd2 Cd 0.7500 0.2500 0.5000
Ni1 Ni 0.2500 0.7500 0.5000
Ni2 Ni 0.5000 0.5000 0.0000
Ir1 Ir 0.1737 0.6250 0.0487
Ir2 Ir 0.3750 0.4237 0.5487
Ir3 Ir 0.5763 0.1250 0.9513
Ir4 Ir 0.8750 0.8263 0.4513
```

=====

No. 3
Material: NiP5
Method: DFT, GGA-PBE
State: optimized geometry

Computed properties:
relative energy among the computed polymorphs = 217.5 meV per atom
calculated total energy = -5.24 eV/atom
energy relative to the elements = 0.232 eV/atom

Geometry as CIF:
```
data_NiP5
_chemical_formula_sum 'Ni1 P5'
_cell_length_a 5.6890
_cell_length_b 5.6890
_cell_length_c 3.0147
_cell_angle_alpha 90.00
_cell_angle_beta 90.00
_cell_angle_gamma 120.00
_symmetry_space_group_name_H-M 'P 1'
_symmetry_Int_Tables_number 1
_symmetry_space_group_name_Hall 'P 1'
loop_
_atom_site_label
_atom_site_type_symbol
_atom_site_fract_x
_atom_site_fract_y
_atom_site_fract_z
Ni1 Ni 0.0000 0.0000 0.0000
P1 P 0.0000 0.6717 0.5000
P2 P 0.3283 0.3283 0.5000
P3 P 0.3333 0.6667 0.0000
P4 P 0.6667 0.3333 0.0000
P5 P 0.6717 0.0000 0.5000
```

=====

No. 4
Material: Tm4ScPd2
Method: DFT, GGA-PBE
State: optimized geometry

Computed properties:
calculated total energy = -5.29 eV/atom
energy relative to the elements = -0.345 eV/atom

Geometry as CIF:
```
data_Tm4ScPd2
_chemical_formula_sum 'Tm4 Sc1 Pd2'
_cell_length_a 15.4449
_cell_length_b 15.4449
_cell_length_c 15.4449
_cell_angle_alpha 13.94
_cell_angle_beta 13.94
_cell_angle_gamma 13.94
_symmetry_space_group_name_H-M 'P 1'
_symmetry_Int_Tables_number 1
_symmetry_space_group_name_Hall 'P 1'
loop_
_atom_site_label
_atom_site_type_symbol
_atom_site_fract_x
_atom_site_fract_y
_atom_site_fract_z
Tm1 Tm 0.1095 0.1095 0.1095
Tm2 Tm 0.3014 0.3014 0.3014
Tm3 Tm 0.6986 0.6986 0.6986
Tm4 Tm 0.8905 0.8905 0.8905
Sc1 Sc 0.5000 0.5000 0.5000
Pd1 Pd 0.4039 0.4039 0.4039
Pd2 Pd 0.5961 0.5961 0.5961
```

=====

No. 5
Material: SrIClO2
Method: DFT, GGA-PBE
State: optimized geometry

Computed properties:
relative energy among the computed polymorphs = 234.6 meV per atom
calculated total energy = -3.11 eV/atom
formation energy (no corrections) = -0.1095 eV/atom

Geometry as CIF:
```
data_SrIClO2
_chemical_formula_sum 'Sr1 I1 Cl1 O2'
_cell_length_a 4.5666
_cell_length_b 4.5666
_cell_length_c 5.0935
_cell_angle_alpha 90.00
_cell_angle_beta 90.00
_cell_angle_gamma 90.00
_symmetry_space_group_name_H-M 'P 1'
_symmetry_Int_Tables_number 1
_symmetry_space_group_name_Hall 'P 1'
loop_
_atom_site_label
_atom_site_type_symbol
_atom_site_fract_x
_atom_site_fract_y
_atom_site_fract_z
Sr1 Sr 0.0000 0.0000 0.0000
I1 I 0.5000 0.5000 0.0000
Cl1 Cl 0.5000 0.5000 0.5000
O1 O 0.0000 0.5000 0.5000
O2 O 0.5000 0.0000 0.5000
```

=====

No. 6
Material: ZnSi4Sn2
Method: DFT, GGA-PBE
State: optimized geometry

Computed properties:
calculated total energy = -3.67 eV/atom
formation energy (no corrections) = 0.7504 eV/atom

Geometry as CIF:
```
data_ZnSi4Sn2
_chemical_formula_sum 'Zn1 Si4 Sn2'
_cell_length_a 7.9962
_cell_length_b 7.9962
_cell_length_c 7.9962
_cell_angle_alpha 146.51
_cell_angle_beta 146.51
_cell_angle_gamma 48.08
_symmetry_space_group_name_H-M 'P 1'
_symmetry_Int_Tables_number 1
_symmetry_space_group_name_Hall 'P 1'
loop_
_atom_site_label
_atom_site_type_symbol
_atom_site_fract_x
_atom_site_fract_y
_atom_site_fract_z
Zn1 Zn 0.0000 0.0000 0.0000
Si1 Si 0.0000 0.5000 0.5000
Si2 Si 0.1720 0.1720 0.0000
Si3 Si 0.5000 0.0000 0.5000
Si4 Si 0.8280 0.8280 0.0000
Sn1 Sn 0.3578 0.3578 0.0000
Sn2 Sn 0.6422 0.6422 0.0000
```